1.
## MnAlSi (PBEsol)

Data for an optimized crystal structure of MnAlSi.

Geometry as POSCAR:
```
MnAlSi
1.0
-1.9854 -1.3078 -1.8273
-1.1660 -1.4847 2.3296
-0.9652 4.3768 0.3766
Si Mn Al
1 1 1
Direct
0.6813 0.6813 0.3625 Si
0.3226 0.3226 0.6452 Mn
0.9961 0.9961 0.9923 Al
```

Size of the total moment (μB/f.u.): 0.000
SG: I4mm
ΔE_f (raw) (kJ per mole of atoms): -43

***

2.
## KGaSn3 (PBEsol)

Data for an optimized crystal structure of KGaSn3.

Geometry as POSCAR:
```
KGaSn3
1.0
5.7380 0.0000 0.0000
0.0000 5.7380 0.0000
0.0000 0.0000 5.7380
K Sn Ga
1 3 1
Direct
0.0000 0.0000 0.0000 K
0.0000 0.5000 0.0000 Sn
0.0000 0.0000 0.5000 Sn
0.5000 0.0000 0.0000 Sn
0.5000 0.5000 0.5000 Ga
```

Size of the total moment (μB/f.u.): 0.000
Fermi-level density of states (states/eV/atom): 0.60
SG: Pm-3m
DFT formation energy (eV/atom): 1.168

***

3.
## MgZn3 (PBEsol)

Data for an optimized crystal structure of MgZn3.

Geometry as POSCAR:
```
MgZn3
1.0
-2.2105 -1.3183 -3.5137
4.7248 -2.5003 -2.0342
-3.5760 -2.9449 3.3545
Mg Zn
2 6
Direct
0.7500 0.6667 0.3333 Mg
0.2500 0.3333 0.6667 Mg
0.7500 0.1599 0.3198 Zn
0.2500 0.8401 0.6802 Zn
0.7500 0.1599 0.8401 Zn
0.2500 0.8401 0.1599 Zn
0.7500 0.6802 0.8401 Zn
0.2500 0.3198 0.1599 Zn
```

Size of the total moment (μB/f.u.): 0.000
Fermi-level density of states (states/eV/atom): 0.29
SG: P6_3/mmc
DFT formation energy (eV/atom): -0.057

***

> Look up the size of the total moment of the second one.

0.000 μB/f.u.

***

> size of the total moment of number 3 (MgZn3)?

0.000 μB/f.u.